Record 1
Here is a relaxed RbZnI3 crystal from Alexandria via LeMat-Bulk. Energies are from PBE.

a = 6.1374 Å, b = 8.7259 Å, c = 8.7249 Å
α = 76.97°, β = 87.55°, γ = 87.55°
Element x y z (fractional)
I 0.5021 0.8698 0.7250
I 0.5022 0.2861 0.3088
Zn 0.7424 0.2870 0.0562
I 0.9707 0.5536 0.9925
I 0.9826 0.0345 0.0572
I 0.5140 0.3508 0.7897
I 0.9825 0.6183 0.4734
Zn 0.7423 0.6174 0.7259
Rb 0.9753 0.1474 0.5864
Rb 0.5092 0.7569 0.1959

Computed properties:
For the total energy, the calculation gives -0.1716 Ry/atom. Its space-group type is C2/m. As for the density of states at the Fermi level: 0.0 states/eV/f.u. Its excess energy over the best structure of this formula in the dataset is 7.1 meV/atom.

Record 2
Here is a relaxed Sc3CoNi crystal from Alexandria via LeMat-Bulk. Energies are from PBE.

a = 4.7256 Å, b = 4.7256 Å, c = 4.7256 Å
α = 90.00°, β = 90.00°, γ = 90.00°
Element x y z (fractional)
Sc 0.0000 0.0000 0.5000
Ni 0.5000 0.5000 0.5000
Co 0.0000 0.0000 0.0000
Sc 0.5000 0.0000 0.0000
Sc 0.0000 0.5000 0.0000

Computed properties:
For the total energy, the calculation gives -0.4598 Ry/atom. The energy of formation from the pure elements comes out at 0.604 eV/f.u. Its space-group type is Pm-3m. As for the density of states at the Fermi level: 4.3 states/eV/f.u. Its excess energy over the best structure of this formula in the dataset is 436.8 meV/atom.

Record 3
Here is a relaxed NbCd2Ir2 crystal from Alexandria via LeMat-Bulk. Energies are from PBE.

a = 6.6494 Å, b = 6.6494 Å, c = 4.3217 Å
α = 90.00°, β = 90.00°, γ = 90.00°
Element x y z (fractional)
Ir 0.8676 0.6324 0.0000
Cd 0.8270 0.3270 0.5000
Ir 0.6324 0.1324 0.0000
Nb 0.5000 0.5000 0.0000
Ir 0.3676 0.8676 0.0000
Cd 0.6730 0.8270 0.5000
Ir 0.1324 0.3676 0.0000
Cd 0.3270 0.1730 0.5000
Cd 0.1730 0.6730 0.5000
Nb 0.0000 0.0000 0.0000

Computed properties:
For the total energy, the calculation gives -0.4292 Ry/atom. The energy of formation from the pure elements comes out at 0.421 eV/f.u. Its space-group type is P4/mbm. As for the density of states at the Fermi level: 3.6 states/eV/f.u.

Record 4
Here is a relaxed NpBeGe crystal from Alexandria via LeMat-Bulk. Energies are from PBE.

a = 3.8986 Å, b = 3.6187 Å, c = 6.6491 Å
α = 90.00°, β = 95.63°, γ = 90.00°
Site moments in Bohr magnetons follow the coordinates.
Element x y z (fractional)
Be 0.1787 0.2500 0.4912  0.00
Np 0.8749 0.2500 0.8945  0.76
Ge 0.6514 0.2500 0.2976  -0.02
Ge 0.3486 0.7500 0.7024  -0.02
Be 0.8213 0.7500 0.5088  0.00
Np 0.1251 0.7500 0.1055  0.76

Computed properties:
For the total energy, the calculation gives -0.5324 Ry/atom. The energy of formation from the pure elements comes out at -0.446 eV/f.u. Its space-group type is P2_1/m. As for the density of states at the Fermi level: 3.5 states/eV/f.u.